# 1
SrNb2Cl2 | GGA-PBE | optimized geometry

Results
electronic total energy	-5.22	eV per atom
formation energy from raw total energies	-0.11	eV/atom
crystal system	tetragonal
density	4.65	g/cm3

Lattice parameters (Å, degrees): 4.9583 4.9583 10.0066 90.00 90.00 90.00
Last column: nearest neighbours and their distance in Å.
Space group I4/mmm (No. 139)
Symmetry-distinct sites (fractional):
Sr1 0.0000 0.0000 0.0000 (multiplicity 2)  8 Cl 3.52, 10 Nb 3.67-3.91
Nb1 0.0000 0.0000 0.3908 (multiplicity 4)  1 Nb 2.19
Cl1 0.0000 0.5000 0.2500 (multiplicity 4)  4 Nb 2.85



# 2
KCuBr | GGA-PBE | optimized geometry

Results
electronic total energy	-2.43	eV per atom
formation energy from raw total energies	-0.14	eV/atom
crystal system	tetragonal
density	3.65	g/cm3

Lattice parameters (Å, degrees): 3.8298 3.8298 11.3184 90.00 90.00 90.00
Last column: nearest neighbours and their distance in Å.
Space group I4mm (No. 107)
Symmetry-distinct sites (fractional):
K1 0.0000 0.0000 0.0000 (multiplicity 2)  5 Cu 3.39-3.53, 5 Br 3.43-3.50
Cu1 0.0000 0.0000 0.2993 (multiplicity 2)  4 Br 2.95
Br1 0.0000 0.0000 0.6965 (multiplicity 2)  4 Cu 2.95



# 3
AcYPd2 | GGA-PBE | optimized geometry

Results
electronic total energy	-5.98	eV per atom
crystal system	trigonal
ΔE_f	-0.75	eV/atom
density	8.09	g/cm3

Lattice parameters (Å, degrees): 4.2997 4.2997 20.3417 90.00 90.00 120.00
Last column: nearest neighbours and their distance in Å.
Space group R-3m (No. 166, hexagonal axes)
Symmetry-distinct sites (fractional):
Ac1 0.0000 0.0000 0.0000 (multiplicity 3)  6 Pd 3.10
Y1 0.0000 0.0000 0.5000 (multiplicity 3)  6 Pd 2.92
Pd1 0.0000 0.0000 0.2418 (multiplicity 6)  3 Y 2.92, 3 Ac 3.10



# 4
TiCu2Pt2 | GGA-PBE | optimized geometry

Results
electronic total energy	-6.14	eV per atom
crystal system	monoclinic
ΔE_f	-0.51	eV/atom
density	13.16	g/cm3

Lattice parameters (Å, degrees): 9.1217 4.7693 7.1866 90.00 114.17 90.00
Last column: nearest neighbours and their distance in Å.
Space group C2/c (No. 15)
Symmetry-distinct sites (fractional):
Ti1 0.0000 0.1599 0.2500 (multiplicity 4)  6 Pt 2.62-2.77, 6 Cu 2.71-2.85
Cu1 0.1043 0.3474 0.9471 (multiplicity 8)  3 Cu 2.62-2.74, 6 Pt 2.62-2.77, 3 Ti 2.71-2.85
Pt1 0.1869 0.1591 0.6437 (multiplicity 8)  6 Cu 2.62-2.77, 3 Ti 2.62-2.77, 3 Pt 2.81-2.88



# 5
Pr2Er8Sc | GGA-PBE | optimized geometry

Results
electronic total energy	-4.59	eV per atom
crystal system	monoclinic
ΔE_f	0.18	eV/atom
density	7.96	g/cm3

Lattice parameters (Å, degrees): 8.8870 15.7835 5.8256 90.00 121.74 90.00
Last column: nearest neighbours and their distance in Å.
Space group C2/m (No. 12)
Symmetry-distinct sites (fractional):
Pr1 0.0000 0.1944 0.0000 (multiplicity 4)  8 Er 3.32-3.44
Er1 0.0000 0.2957 0.5000 (multiplicity 4)  1 Sc 3.22, 2 Pr 3.32, 2 Er 3.60
Er2 0.0843 0.0000 0.3022 (multiplicity 4)  4 Er 3.02-3.34, 1 Sc 3.24
Er3 0.2126 0.3872 0.1650 (multiplicity 8)  4 Er 3.19-3.56, 2 Pr 3.42-3.44
Sc1 0.0000 0.5000 0.5000 (multiplicity 2)  4 Er 3.22-3.24



# 6
AcCeHgPd | GGA-PBE | optimized geometry

Results
electronic total energy	-4.33	eV per atom
crystal system	cubic
ΔE_f	-0.44	eV/atom
density	9.99	g/cm3

Lattice parameters (Å, degrees): 7.6519 7.6519 7.6519 90.00 90.00 90.00
Last column: nearest neighbours and their distance in Å.
Space group F-43m (No. 216)
Symmetry-distinct sites (fractional):
Ac1 0.0000 0.0000 0.0000 (multiplicity 4)  4 Hg 3.31, 4 Pd 3.31
Ce1 0.0000 0.0000 0.5000 (multiplicity 4)  4 Hg 3.31, 4 Pd 3.31
Hg1 0.2500 0.2500 0.7500 (multiplicity 4)  4 Ac 3.31, 4 Ce 3.31
Pd1 0.2500 0.2500 0.2500 (multiplicity 4)  4 Ac 3.31, 4 Ce 3.31